# KCa2Al

Crystalline KCa2Al at its relaxed geometry (PBE-GGA, the Alexandria database).

Cell and atoms, written as POSCAR:
```
KCa2Al
1.0
-0.311 1.199 -4.983
-5.120 -0.317 0.244
-3.291 11.883 0.418
Al Ca K
2 4 2
Cartesian
-2.715 0.441 -2.370 Al
-5.563 6.003 -0.854 Al
-1.648 3.646 -2.837 Ca
-7.074 9.693 -3.841 Ca
-4.652 9.234 -1.457 Ca
-4.070 2.957 -0.509 Ca
0.000 0.000 0.000 K
-3.159 6.761 -3.467 K
```

The calculation puts the formation energy at 0.41 eV/atom. As for the space group: I-42d (122). The density of states at the Fermi level is 0.707 states/eV per atom. For the volume, the calculation gives 311 Å³ per cell. The value obtained for the theoretical density is 1.56 Mg/m³.

# NdIn7Cu5

Crystalline NdIn7Cu5 at its relaxed geometry (PBE-GGA, the Alexandria database).

Cell and atoms, written as POSCAR:
```
NdIn7Cu5
1.0
-5.286 -4.287 -2.605
2.232 -4.294 5.449
-3.453 6.406 -0.388
Cu In Nd
5 7 1
Cartesian
1.082 -2.183 2.778 Cu
0.490 -1.159 5.233 Cu
-2.639 -2.073 -1.284 Cu
-3.231 -1.049 1.170 Cu
-2.658 1.552 1.829 Cu
-5.715 1.386 -1.957 In
-2.949 0.715 -1.010 In
-5.351 0.716 1.528 In
-3.893 -3.717 0.611 In
-1.328 -0.585 3.042 In
-5.425 -1.531 -0.671 In
-4.375 3.458 0.620 In
-8.739 2.119 -2.993 Nd
```

The calculation puts the formation energy at -0.10 eV/atom. As for the space group: Imm2 (44). The density of states at the Fermi level is 0.360 states/eV per atom. For the volume, the calculation gives 254 Å³ per cell. The value obtained for the theoretical density is 8.27 Mg/m³.

# Sr3CrNi

Crystalline Sr3CrNi at its relaxed geometry (PBE-GGA, the Alexandria database).

Cell and atoms, written as POSCAR:
```
Sr3CrNi
1.0
-3.866 -3.539 2.303
0.610 -3.558 -4.443
4.178 -2.755 2.780
Sr Ni Cr
3 1 1
Cartesian
0.305 -1.779 -2.222 Sr
-1.933 -1.769 1.152 Sr
2.089 -1.377 1.390 Sr
0.000 0.000 0.000 Ni
0.461 -4.926 0.320 Cr
```

The calculation puts the formation energy at 0.42 eV/atom. As for the space group: Pm-3m (221). The density of states at the Fermi level is 0.472 states/eV per atom. For the volume, the calculation gives 188 Å³ per cell. The value obtained for the theoretical density is 3.31 Mg/m³. As for the energy above the most stable polymorph in this dataset: 0 meV per atom.

# MgBe2Sn

Crystalline MgBe2Sn at its relaxed geometry (PBE-GGA, the Alexandria database).

Cell and atoms, written as POSCAR:
```
MgBe2Sn
1.0
-0.821 -4.295 0.202
4.248 -0.778 0.714
0.469 -1.919 8.537
Mg Sn Be
2 2 4
Cartesian
3.215 -2.617 4.855 Mg
1.714 -2.537 0.458 Mg
0.000 0.000 0.000 Sn
0.681 -4.375 4.599 Sn
0.797 -3.188 6.605 Be
2.011 -4.949 2.768 Be
-0.058 -5.254 6.632 Be
-0.027 -4.111 2.390 Be
```

The calculation puts the formation energy at 0.53 eV/atom. As for the space group: I-42d (122). The density of states at the Fermi level is 0.348 states/eV per atom. For the volume, the calculation gives 157 Å³ per cell. The value obtained for the theoretical density is 3.40 Mg/m³. As for the energy above the most stable polymorph in this dataset: 14 meV per atom.

# Y4TlHgC

Crystalline Y4TlHgC at its relaxed geometry (PBE-GGA, the Alexandria database).

Cell and atoms, written as POSCAR:
```
Y4TlHgC
1.0
6.972 0.000 0.000
0.000 6.978 0.000
-3.486 0.000 7.523
Y C Tl Hg
8 2 2 2
Cartesian
-1.743 3.489 3.761 Y
1.743 0.000 3.761 Y
3.486 1.745 1.289 Y
0.000 5.234 1.244 Y
1.743 3.489 3.761 Y
3.486 1.745 6.279 Y
0.000 5.234 6.234 Y
-1.743 0.000 3.761 Y
0.000 5.234 3.741 C
3.486 1.745 3.782 C
0.000 1.745 5.749 Tl
3.486 5.234 1.774 Tl
3.486 5.234 5.730 Hg
0.000 1.745 1.793 Hg
```

The calculation puts the formation energy at -0.37 eV/atom. As for the space group: Cmcm (63). The density of states at the Fermi level is 0.921 states/eV per atom. For the volume, the calculation gives 366 Å³ per cell. The value obtained for the theoretical density is 7.01 Mg/m³.

# GdErMgGe

Crystalline GdErMgGe at its relaxed geometry (PBE-GGA, the Alexandria database).

Cell and atoms, written as POSCAR:
```
GdErMgGe
1.0
5.139 0.000 0.000
2.569 4.450 0.000
2.569 1.483 4.196
Mg Ge Gd Er
1 1 1 1
Cartesian
5.139 2.967 2.098 Mg
0.000 0.000 0.000 Ge
7.708 4.450 3.147 Gd
2.569 1.483 1.049 Er
```

The calculation puts the formation energy at -0.35 eV/atom. As for the space group: F-43m (216). The density of states at the Fermi level is 0.878 states/eV per atom. For the volume, the calculation gives 96 Å³ per cell. The value obtained for the theoretical density is 7.29 Mg/m³.